#i
Pm5Sm5Y | PBE | relaxed

abc: 6.1980 6.1980 11.6327
angles: 90.00 90.00 120.00
Last column: nearest neighbours and their distance in Å.
Fractional coordinates of all 11 atoms:
Sm: 0.6667 0.3333 0.8420  7 Sm 3.68-4.04, 3 Pm 3.79, 3 Y 4.02
Sm: 0.6667 0.3333 0.1580  7 Sm 3.68-4.04, 3 Pm 3.79, 3 Y 4.02
Sm: 0.3333 0.6667 0.6814  9 Pm 3.63-3.75, 1 Y 3.71, 3 Sm 4.04
Sm: 0.0000 0.0000 0.0000  2 Pm 3.07
Sm: 0.3333 0.6667 0.3186  9 Pm 3.63-3.75, 1 Y 3.71, 3 Sm 4.04
Pm: 0.3389 0.1694 0.5000  6 Pm 3.05-3.29
Pm: 0.8306 0.6611 0.5000  6 Pm 3.05-3.29
Pm: 0.0000 0.0000 0.2641  1 Sm 3.07, 3 Pm 3.29
Pm: 0.8306 0.1694 0.5000  6 Pm 3.05-3.29
Pm: 0.0000 0.0000 0.7359  1 Sm 3.07, 3 Pm 3.29
Y: 0.3333 0.6667 0.0000  5 Sm 3.58-3.71

***

#ii
Pm5Sm5Y | PBE | relaxed

abc: 6.1956 6.1956 11.6589
angles: 90.00 90.00 120.00
Last column: nearest neighbours and their distance in Å.
Fractional coordinates of all 11 atoms:
Pm: 0.6667 0.3333 0.1574  7 Pm 3.67-4.04, 3 Sm 3.79, 3 Y 4.02
Pm: 0.6667 0.3333 0.8426  7 Pm 3.67-4.04, 3 Sm 3.79, 3 Y 4.02
Pm: 0.3333 0.6667 0.3185  9 Sm 3.63-3.75, 1 Y 3.71, 3 Pm 4.04
Pm: 0.3333 0.6667 0.6815  9 Sm 3.63-3.75, 1 Y 3.71, 3 Pm 4.04
Pm: 0.0000 0.0000 0.0000  2 Sm 3.08
Sm: 0.8311 0.6623 0.5000  6 Sm 3.06-3.29
Sm: 0.8311 0.1689 0.5000  6 Sm 3.06-3.29
Sm: 0.0000 0.0000 0.2645  1 Pm 3.08, 3 Sm 3.29
Sm: 0.0000 0.0000 0.7355  1 Pm 3.08, 3 Sm 3.29
Sm: 0.3377 0.1689 0.5000  6 Sm 3.06-3.29
Y: 0.3333 0.6667 0.0000  5 Pm 3.58-3.71

***

Stability ranking, top and bottom: #ii is the most stable and #i is the least stable.

***

#i
Pm4Sm4Y | PBE | relaxed

abc: 5.1362 8.1274 8.1274
angles: 84.27 71.58 71.58
Last column: nearest neighbours and their distance in Å.
Fractional coordinates of all 9 atoms:
Sm: 0.3334 0.3333 0.0000  6 Pm 3.63-3.64, 2 Y 3.63, 4 Sm 3.63
Sm: 0.3333 0.0000 0.3333  6 Pm 3.63-3.64, 2 Y 3.63, 4 Sm 3.63
Sm: 0.6666 0.6667 0.0000  6 Pm 3.63-3.64, 2 Y 3.63, 4 Sm 3.63
Sm: 0.6667 0.0000 0.6667  6 Pm 3.63-3.64, 2 Y 3.63, 4 Sm 3.63
Y: 0.0000 0.0000 0.0000  4 Pm 3.63, 8 Sm 3.63
Pm: 0.3328 0.6673 0.6672  1 Y 3.63, 6 Sm 3.63-3.64, 5 Pm 3.64-3.65
Pm: 0.0001 0.6672 0.3327  1 Y 3.63, 6 Sm 3.63-3.64, 5 Pm 3.64-3.65
Pm: 0.6672 0.3327 0.3328  1 Y 3.63, 6 Sm 3.63-3.64, 5 Pm 3.64-3.65
Pm: 0.9999 0.3328 0.6673  1 Y 3.63, 6 Sm 3.63-3.64, 5 Pm 3.64-3.65

***

#ii
Pm4Sm4Y | PBE | relaxed

abc: 5.6485 8.9590 9.1483
angles: 45.00 71.96 71.57
Last column: nearest neighbours and their distance in Å.
Fractional coordinates of all 9 atoms:
Pm: 0.2822 0.1423 0.2935  4 Sm 3.39-3.77, 1 Y 3.49, 3 Pm 3.57-3.62
Pm: 0.1324 0.7004 0.0339  6 Sm 3.38-3.77, 3 Pm 3.57-3.62, 2 Y 3.68
Pm: 0.7178 0.8577 0.7065  4 Sm 3.39-3.77, 1 Y 3.49, 3 Pm 3.57-3.62
Pm: 0.8676 0.2996 0.9661  6 Sm 3.38-3.77, 3 Pm 3.57-3.62, 2 Y 3.68
Sm: 0.3668 0.5697 0.6977  6 Pm 3.38-3.77, 2 Sm 3.47-3.48, 1 Y 3.63
Sm: 0.9266 0.7655 0.3838  4 Pm 3.39-3.77, 3 Sm 3.47-3.48, 2 Y 3.75-3.76
Sm: 0.6332 0.4303 0.3023  6 Pm 3.38-3.77, 2 Sm 3.47-3.48, 1 Y 3.63
Sm: 0.0734 0.2345 0.6162  4 Pm 3.39-3.77, 3 Sm 3.47-3.48, 2 Y 3.75-3.76
Y: 0.5000 0.0000 0.0000  6 Pm 3.49-3.68, 6 Sm 3.63-3.76

***

Stability ranking, top and bottom: #i is the most stable and #ii is the least stable.

***

#i
Pm5Sm2Y2 | PBE | relaxed

abc: 11.9734 6.8447 10.1895
angles: 109.63 125.98 90.00
Last column: nearest neighbours and their distance in Å.
Fractional coordinates of all 18 atoms:
Pm: 0.5886 0.2432 0.7129  4 Pm 3.17-3.45, 1 Y 3.37, 1 Sm 3.46
Pm: 0.6242 0.7432 0.7129  4 Pm 3.17-3.45, 1 Y 3.37, 1 Sm 3.46
Pm: 0.3758 0.0303 0.2871  4 Pm 3.17-3.45, 1 Y 3.37, 1 Sm 3.46
Pm: 0.2009 0.1583 0.8967  4 Pm 3.17-3.42, 1 Sm 3.35, 1 Y 3.38
Pm: 0.1958 0.6583 0.8967  4 Pm 3.17-3.42, 1 Sm 3.35, 1 Y 3.38
Pm: 0.0106 0.6526 0.5000  6 Pm 3.26-3.65, 2 Sm 3.44-3.60, 2 Y 3.61
Pm: 0.4114 0.5303 0.2871  4 Pm 3.17-3.45, 1 Y 3.37, 1 Sm 3.46
Pm: 0.7991 0.2616 0.1033  4 Pm 3.17-3.42, 1 Sm 3.35, 1 Y 3.38
Pm: 0.8042 0.7616 0.1033  4 Pm 3.17-3.42, 1 Sm 3.35, 1 Y 3.38
Pm: 0.9894 0.1526 0.5000  6 Pm 3.26-3.65, 2 Sm 3.44-3.60, 2 Y 3.61
Sm: 0.2547 0.3448 0.5000  4 Pm 3.44-3.60, 2 Y 3.66, 2 Sm 3.77
Sm: 0.0000 0.0334 0.0000  4 Pm 3.35-3.66
Sm: 0.5000 0.5334 0.0000  4 Pm 3.35-3.66
Sm: 0.7453 0.8448 0.5000  4 Pm 3.44-3.60, 2 Y 3.66, 2 Sm 3.77
Y: 0.3777 0.9296 0.7472  4 Pm 3.37-3.61, 1 Sm 3.66, 1 Y 3.71
Y: 0.1305 0.6824 0.2528  4 Pm 3.37-3.61, 1 Sm 3.66, 1 Y 3.71
Y: 0.8695 0.4296 0.7472  4 Pm 3.37-3.61, 1 Sm 3.66, 1 Y 3.71
Y: 0.6223 0.1824 0.2528  4 Pm 3.37-3.61, 1 Sm 3.66, 1 Y 3.71

***

#ii
Pm5Sm2Y2 | PBE | relaxed

abc: 3.5665 14.4189 8.9741
angles: 46.49 101.46 82.90
Last column: nearest neighbours and their distance in Å.
Fractional coordinates of all 9 atoms:
Y: 0.1725 0.3302 0.6760  5 Pm 3.30-3.67, 3 Y 3.34-3.57, 1 Sm 3.39
Y: 0.8275 0.6698 0.3240  5 Pm 3.30-3.67, 3 Y 3.34-3.57, 1 Sm 3.39
Pm: 0.1170 0.2194 0.4537  1 Y 3.30, 3 Sm 3.41-3.59, 5 Pm 3.57-3.66
Pm: 0.6987 0.4591 0.8560  7 Pm 3.57-3.91, 4 Y 3.66-3.67, 2 Sm 3.75
Pm: 0.3013 0.5409 0.1440  7 Pm 3.57-3.91, 4 Y 3.66-3.67, 2 Sm 3.75
Pm: 0.0000 0.0000 0.0000  6 Pm 3.57-3.74, 4 Y 3.72-3.73, 4 Sm 3.95
Pm: 0.8830 0.7806 0.5463  1 Y 3.30, 3 Sm 3.41-3.59, 5 Pm 3.57-3.66
Sm: 0.4432 0.8793 0.7660  1 Y 3.39, 5 Pm 3.41-3.75, 4 Sm 3.57-3.65
Sm: 0.5568 0.1207 0.2340  1 Y 3.39, 5 Pm 3.41-3.75, 4 Sm 3.57-3.65

***

Stability ranking, top and bottom: #ii is the most stable and #i is the least stable.